No. 1
LiGaSn: optimized geometry, PBE-GGA.

VASP energy = -9.4 eV for the cell shown
space group = I4mm
formation energy = -0.166 eV/atom

Cell: 3.7490 3.7490 5.1727 Å, 111.25 111.25 90.00°
Closest atoms and distances in Å follow each position.
Fractional coordinates of all 3 atoms:
1 Li 0.2838 0.2838 0.5676  5 Sn 2.92-3.06, 5 Ga 2.93-3.05
2 Ga 0.9539 0.9539 0.9077  5 Li 2.93-3.05, 5 Sn 3.00-3.03
3 Sn 0.6123 0.6123 0.2247  5 Li 2.92-3.06, 5 Ga 3.00-3.03

***

No. 2
SbTeBr3: optimized geometry, PBE-GGA.

VASP energy = -56.1 eV for the cell shown
formation energy from raw total energies = -1.75 eV per formula unit
E above lowest polymorph = 0.0 meV per atom
space group = P2/c

Cell: 8.0243 7.9918 15.5052 Å, 90.00 96.15 90.00°
Closest atoms and distances in Å follow each position.
Fractional coordinates of all 20 atoms:
1 Br 0.8425 0.6732 0.4462  1 Sb 2.70
2 Br 0.2526 0.5558 0.7703  1 Sb 2.63
3 Br 0.6729 0.7826 0.9445  1 Sb 2.56
4 Br 0.3271 0.7826 0.5555  1 Sb 2.56
5 Te 0.9260 0.9945 0.6709  1 Te 2.61
6 Sb 0.0882 0.6293 0.6195  3 Br 2.56-2.70
7 Te 0.0740 0.9945 0.8291  1 Te 2.61
8 Br 0.6729 0.2174 0.4445  1 Sb 2.56
9 Br 0.7474 0.4442 0.2297  1 Sb 2.63
10 Br 0.8425 0.3268 0.9462  1 Sb 2.70
11 Sb 0.0882 0.3707 0.1195  3 Br 2.56-2.70
12 Sb 0.9118 0.3707 0.3805  3 Br 2.56-2.70
13 Br 0.7474 0.5558 0.7297  1 Sb 2.63
14 Br 0.1575 0.6732 0.0538  1 Sb 2.70
15 Te 0.0740 0.0055 0.3291  1 Te 2.61
16 Br 0.3271 0.2174 0.0555  1 Sb 2.56
17 Br 0.1575 0.3268 0.5538  1 Sb 2.70
18 Br 0.2526 0.4442 0.2703  1 Sb 2.63
19 Te 0.9260 0.0055 0.1709  1 Te 2.61
20 Sb 0.9118 0.6293 0.8805  3 Br 2.56-2.70

***

No. 3
Cs2LiPd2: optimized geometry, PBE-GGA.

VASP energy = -26.4 eV for the cell shown
space group = P4/mbm
formation energy = 0.159 eV/atom

Cell: 7.3277 7.3277 5.6745 Å, 90.00 90.00 90.00°
Closest atoms and distances in Å follow each position.
Fractional coordinates of all 10 atoms:
1 Pd 0.8702 0.6298 0.0000  1 Pd 2.69, 2 Li 2.87
2 Cs 0.1805 0.6805 0.5000  6 Pd 3.45-3.66, 5 Cs 3.74-3.80
3 Cs 0.8195 0.3195 0.5000  6 Pd 3.45-3.66, 5 Cs 3.74-3.80
4 Pd 0.1298 0.3702 0.0000  1 Pd 2.69, 2 Li 2.87
5 Li 0.5000 0.5000 0.0000  4 Pd 2.87
6 Cs 0.3195 0.1805 0.5000  6 Pd 3.45-3.66, 5 Cs 3.74-3.80
7 Pd 0.3702 0.8702 0.0000  1 Pd 2.69, 2 Li 2.87
8 Li 0.0000 0.0000 0.0000  4 Pd 2.87
9 Cs 0.6805 0.8195 0.5000  6 Pd 3.45-3.66, 5 Cs 3.74-3.80
10 Pd 0.6298 0.1298 0.0000  1 Pd 2.69, 2 Li 2.87

***

No. 4
TaTc2Ag: optimized geometry, PBE-GGA.

VASP energy = -34.4 eV for the cell shown
E above lowest polymorph = 79.4 meV per atom
space group = P4mm
formation energy = 0.255 eV/atom

Cell: 3.3397 3.3397 5.9046 Å, 90.00 90.00 90.00°
Closest atoms and distances in Å follow each position.
Fractional coordinates of all 4 atoms:
1 Ta 0.5000 0.5000 0.7774  5 Tc 2.59-2.73, 4 Ag 2.89
2 Ag 0.0000 0.0000 0.4965  6 Tc 2.87-3.04, 4 Ta 2.89
3 Tc 0.0000 0.0000 0.0106  4 Tc 2.65, 4 Ta 2.73, 1 Ag 2.87
4 Tc 0.5000 0.5000 0.2156  1 Ta 2.59, 4 Tc 2.65, 4 Ag 2.89

***

No. 5
CaPr2ErAs4: optimized geometry, PBE-GGA.

VASP energy = -45.4 eV for the cell shown
space group = P2/m
formation energy = -1.333 eV/atom

Cell: 4.2480 7.2867 7.3869 Å, 70.35 90.00 90.00°
Closest atoms and distances in Å follow each position.
Fractional coordinates of all 8 atoms:
1 Ca 0.5000 0.5000 0.0000  6 As 2.99
2 Er 0.0000 0.5000 0.5000  6 As 2.94
3 As 0.5000 0.2603 0.7413  2 Er 2.94, 1 Ca 2.99, 3 Pr 3.01-3.05
4 As 0.0000 0.7442 0.7456  1 Er 2.94, 2 Ca 2.99, 3 Pr 3.00-3.06
5 As 0.0000 0.2558 0.2544  1 Er 2.94, 2 Ca 2.99, 3 Pr 3.00-3.06
6 Pr 0.5000 0.0000 0.5000  6 As 3.00-3.01
7 Pr 0.0000 0.0000 0.0000  6 As 3.05-3.06
8 As 0.5000 0.7397 0.2587  2 Er 2.94, 1 Ca 2.99, 3 Pr 3.01-3.05

***

No. 6
Li2TiGe: optimized geometry, PBE-GGA.

VASP energy = -33.3 eV for the cell shown
space group = I-42d
formation energy = -0.083 eV/atom

Cell: 3.6717 3.6717 10.3973 Å, 79.83 79.83 90.00°
Closest atoms and distances in Å follow each position.
Fractional coordinates of all 8 atoms:
1 Ti 0.2500 0.7500 0.5000  4 Ge 2.60, 4 Li 2.86
2 Li 0.3750 0.3524 0.7500  4 Li 2.48-2.72
3 Ge 0.0000 0.0000 0.0000  4 Ti 2.60, 4 Li 2.81
4 Ti 0.5000 0.5000 0.0000  4 Ge 2.60, 4 Li 2.86
5 Li 0.8750 0.8976 0.7500  4 Li 2.48-2.72
6 Li 0.6476 0.1250 0.2500  4 Li 2.48-2.72
7 Li 0.1024 0.6250 0.2500  4 Li 2.48-2.72
8 Ge 0.7500 0.2500 0.5000  4 Ti 2.60, 4 Li 2.81

***

No. 7
CeHo2Pu: optimized geometry, PBE-GGA.

VASP energy = -28.4 eV for the cell shown
E above lowest polymorph = 130.3 meV per atom
space group = Fm-3m
formation energy = 0.262 eV/atom

Cell: 5.5554 5.5554 5.5554 Å, 60.00 60.00 60.00°
Closest atoms and distances in Å follow each position.
Fractional coordinates of all 4 atoms:
1 Ho 0.7500 0.7500 0.7500  4 Ce 3.40, 4 Pu 3.40
2 Ce 0.0000 0.0000 0.0000  8 Ho 3.40
3 Pu 0.5000 0.5000 0.5000  8 Ho 3.40
4 Ho 0.2500 0.2500 0.2500  4 Pu 3.40, 4 Ce 3.40

***

No. 8
Sc3HgO: optimized geometry, PBE-GGA.

VASP energy = -31.7 eV for the cell shown
formation energy from raw total energies = -7.46 eV per formula unit
E above lowest polymorph = 0.0 meV per atom
space group = Pm-3m

Cell: 4.4302 4.4302 4.4302 Å, 90.00 90.00 90.00°
Closest atoms and distances in Å follow each position.
Fractional coordinates of all 5 atoms:
1 Sc 0.0000 0.5000 0.0000  2 O 2.22
2 O 0.0000 0.0000 0.0000  6 Sc 2.22
3 Sc 0.0000 0.0000 0.5000  2 O 2.22
4 Sc 0.5000 0.0000 0.0000  2 O 2.22
5 Hg 0.5000 0.5000 0.5000  12 Sc 3.13

***

No. 9
Ag3SnPb: optimized geometry, PBE-GGA.

VASP energy = -63.5 eV for the cell shown
E above lowest polymorph = 0.0 meV per atom
space group = P2_1/c
formation energy = 0.077 eV/atom

Cell: 8.2552 7.4830 8.5069 Å, 120.65 90.00 90.00°
Closest atoms and distances in Å follow each position.
Fractional coordinates of all 20 atoms:
1 Ag 0.1197 0.3361 0.1693  5 Ag 2.87-3.09, 2 Sn 3.00-3.04, 3 Pb 3.02-3.07
2 Ag 0.6597 0.4135 0.9209  6 Ag 2.90-3.02, 2 Sn 2.95-2.96
3 Sn 0.3004 0.8760 0.4754  6 Ag 2.94-3.10
4 Ag 0.8403 0.4135 0.4209  6 Ag 2.90-3.02, 2 Sn 2.95-2.96
5 Sn 0.6996 0.1240 0.5246  6 Ag 2.94-3.10
6 Ag 0.8803 0.6639 0.8307  5 Ag 2.87-3.09, 2 Sn 3.00-3.04, 3 Pb 3.02-3.07
7 Pb 0.0474 0.2855 0.7948  8 Ag 3.02-3.36
8 Sn 0.8004 0.1240 0.0246  6 Ag 2.94-3.10
9 Ag 0.1056 0.1409 0.3850  4 Ag 2.87-3.09, 2 Sn 2.94-3.10, 2 Pb 3.02-3.12
10 Sn 0.1996 0.8760 0.9754  6 Ag 2.94-3.10
11 Ag 0.3403 0.5865 0.0791  6 Ag 2.90-3.02, 2 Sn 2.95-2.96
12 Ag 0.6056 0.8591 0.1150  4 Ag 2.87-3.09, 2 Sn 2.94-3.10, 2 Pb 3.02-3.12
13 Ag 0.3803 0.3361 0.6693  5 Ag 2.87-3.09, 2 Sn 3.00-3.04, 3 Pb 3.02-3.07
14 Pb 0.4526 0.2855 0.2948  8 Ag 3.02-3.36
15 Ag 0.8944 0.8591 0.6150  4 Ag 2.87-3.09, 2 Sn 2.94-3.10, 2 Pb 3.02-3.12
16 Ag 0.3944 0.1409 0.8850  4 Ag 2.87-3.09, 2 Sn 2.94-3.10, 2 Pb 3.02-3.12
17 Ag 0.6197 0.6639 0.3307  5 Ag 2.87-3.09, 2 Sn 3.00-3.04, 3 Pb 3.02-3.07
18 Pb 0.9526 0.7145 0.2052  8 Ag 3.02-3.36
19 Ag 0.1597 0.5865 0.5791  6 Ag 2.90-3.02, 2 Sn 2.95-2.96
20 Pb 0.5474 0.7145 0.7052  8 Ag 3.02-3.36